No. 1
# Li2Tb3Ge4

An optimized crystal structure of Li2Tb3Ge4 (PBE, Alexandria via LeMat-Bulk).

The structure in CIF format:
```
data_Li2Tb3Ge4
_cell_length_a 10.905
_cell_length_b 4.230
_cell_length_c 8.331
_cell_angle_alpha 90.00
_cell_angle_beta 107.92
_cell_angle_gamma 90.00
_symmetry_space_group_name_H-M 'C 1 2/m 1'
_symmetry_Int_Tables_number 12
loop_
_symmetry_equiv_pos_as_xyz
'x,y,z'
'-x,-y,-z'
'-x,y,-z'
'x,-y,z'
'x+1/2,y+1/2,z'
'-x+1/2,-y+1/2,-z'
'-x+1/2,y+1/2,-z'
'x+1/2,-y+1/2,z'
loop_
_atom_site_label
_atom_site_fract_x
_atom_site_fract_y
_atom_site_fract_z
Li1 0.176 0.000 0.350
Tb1 0.000 0.500 0.000
Tb2 0.133 0.000 0.688
Ge1 0.073 0.500 0.397
Ge2 0.209 0.000 0.065
```

Values from the calculation:
Total magnetic moment   0.00 μB/cell
Formation energy   -0.70 eV/atom

=====

No. 2
# Pr2InSe

An optimized crystal structure of Pr2InSe (PBE, Alexandria via LeMat-Bulk).

The structure in CIF format:
```
data_Pr2InSe
_cell_length_a 3.634
_cell_length_b 3.634
_cell_length_c 8.343
_cell_angle_alpha 90.00
_cell_angle_beta 90.00
_cell_angle_gamma 90.00
_symmetry_space_group_name_H-M 'P 4/m m m'
_symmetry_Int_Tables_number 123
_symmetry_space_group_name_Hall '-P 4 2'
loop_
_atom_site_label
_atom_site_fract_x
_atom_site_fract_y
_atom_site_fract_z
Pr1 0.000 0.000 0.229
In1 0.500 0.500 0.500
Se1 0.500 0.500 0.000
```

Values from the calculation:
Total magnetic moment   0.00 μB/cell
Energy above the lowest structure with this stoichiometry   153 meV per atom
ΔE_f (raw)   -1.0073 eV per atom

=====

No. 3
# SrFe2Re2

An optimized crystal structure of SrFe2Re2 (PBE, Alexandria via LeMat-Bulk).

The structure in CIF format:
```
data_SrFe2Re2
_cell_length_a 4.203
_cell_length_b 4.203
_cell_length_c 10.327
_cell_angle_alpha 90.00
_cell_angle_beta 90.00
_cell_angle_gamma 90.00
_symmetry_space_group_name_H-M 'I 4/m m m'
_symmetry_Int_Tables_number 139
_symmetry_space_group_name_Hall '-I 4 2'
loop_
_atom_site_label
_atom_site_fract_x
_atom_site_fract_y
_atom_site_fract_z
Sr1 0.000 0.000 0.000
Fe1 0.000 0.000 0.357
Re1 0.000 0.500 0.250
```

Values from the calculation:
Total magnetic moment   0.00 μB/cell
Energy above the lowest structure with this stoichiometry   0 meV per atom
Formation energy   0.38 eV/atom

=====

No. 4
# Ga6AgIr

An optimized crystal structure of Ga6AgIr (PBE, Alexandria via LeMat-Bulk).

The structure in CIF format:
```
data_Ga6AgIr
_cell_length_a 8.5182
_cell_length_b 8.5182
_cell_length_c 7.4672
_cell_angle_alpha 90.00
_cell_angle_beta 90.00
_cell_angle_gamma 120.00
_symmetry_space_group_name_H-M 'R -3 m'
_symmetry_Int_Tables_number 166
_symmetry_space_group_name_Hall '-R 3 2"'
loop_
_atom_site_label
_atom_site_fract_x
_atom_site_fract_y
_atom_site_fract_z
Ga1 0.0448 0.5224 0.3269
Ag1 0.0000 0.0000 0.0000
Ir1 0.0000 0.0000 0.5000
```

Values from the calculation:
Total magnetic moment   0.00 μB/cell
Formation energy   -0.07 eV/atom

=====

No. 5
# ScAsSeN2

An optimized crystal structure of ScAsSeN2 (PBE, Alexandria via LeMat-Bulk).

The structure in CIF format:
```
data_ScAsSeN2
_cell_length_a 4.129
_cell_length_b 4.129
_cell_length_c 5.454
_cell_angle_alpha 90.00
_cell_angle_beta 90.00
_cell_angle_gamma 90.00
_symmetry_space_group_name_H-M 'P 4/m m m'
_symmetry_Int_Tables_number 123
_symmetry_space_group_name_Hall '-P 4 2'
loop_
_atom_site_label
_atom_site_fract_x
_atom_site_fract_y
_atom_site_fract_z
Sc1 0.000 0.000 0.000
As1 0.500 0.500 0.500
Se1 0.000 0.000 0.500
N1 0.000 0.500 0.000
```

Values from the calculation:
Total magnetic moment   1.53 μB/cell
Energy above the lowest structure with this stoichiometry   261 meV per atom
ΔE_f (raw)   0.7687 eV per atom

=====

No. 6
# Cr3TcIr

An optimized crystal structure of Cr3TcIr (PBE, Alexandria via LeMat-Bulk).

The structure in CIF format:
```
data_Cr3TcIr
_cell_length_a 4.339
_cell_length_b 4.339
_cell_length_c 4.339
_cell_angle_alpha 90.00
_cell_angle_beta 90.00
_cell_angle_gamma 90.00
_symmetry_space_group_name_H-M 'P m -3 m'
_symmetry_Int_Tables_number 221
_symmetry_space_group_name_Hall '-P 4 2 3'
loop_
_atom_site_label
_atom_site_fract_x
_atom_site_fract_y
_atom_site_fract_z
Cr1 0.000 0.000 0.500
Tc1 0.000 0.000 0.000
Ir1 0.500 0.500 0.500
```

Values from the calculation:
Total magnetic moment   0.05 μB/cell
Energy above the lowest structure with this stoichiometry   55 meV per atom
Formation energy   1.63 eV/atom

=====

No. 7
# Ac2TlSnIr

An optimized crystal structure of Ac2TlSnIr (PBE, Alexandria via LeMat-Bulk).

The structure in CIF format:
```
data_Ac2TlSnIr
_cell_length_a 8.259
_cell_length_b 4.355
_cell_length_c 10.083
_cell_angle_alpha 90.00
_cell_angle_beta 109.73
_cell_angle_gamma 90.00
_symmetry_space_group_name_H-M 'P 1 21/m 1'
_symmetry_Int_Tables_number 11
loop_
_symmetry_equiv_pos_as_xyz
'x,y,z'
'-x,-y,-z'
'-x,y+1/2,-z'
'x,-y+1/2,z'
loop_
_atom_site_label
_atom_site_fract_x
_atom_site_fract_y
_atom_site_fract_z
Ac1 0.206 0.250 0.473
Ac2 0.234 0.250 0.874
Tl1 0.202 0.750 0.156
Sn1 0.469 0.250 0.253
Ir1 0.192 0.750 0.673
```

Values from the calculation:
Total magnetic moment   0.00 μB/cell
Formation energy   -0.45 eV/atom

=====

No. 8
# Na3SrSb

An optimized crystal structure of Na3SrSb (PBE, Alexandria via LeMat-Bulk).

The structure in CIF format:
```
data_Na3SrSb
_cell_length_a 6.153
_cell_length_b 6.153
_cell_length_c 6.153
_cell_angle_alpha 90.00
_cell_angle_beta 90.00
_cell_angle_gamma 90.00
_symmetry_space_group_name_H-M 'P m -3 m'
_symmetry_Int_Tables_number 221
_symmetry_space_group_name_Hall '-P 4 2 3'
loop_
_atom_site_label
_atom_site_fract_x
_atom_site_fract_y
_atom_site_fract_z
Na1 0.000 0.000 0.500
Sr1 0.000 0.000 0.000
Sb1 0.500 0.500 0.500
```

Values from the calculation:
Total magnetic moment   0.00 μB/cell
Energy above the lowest structure with this stoichiometry   856 meV per atom
ΔE_f (raw)   0.7515 eV per atom